CoAgS2O8: relaxed, PBE with a Hubbard U.

Unit cell a=8.076 b=8.076 c=8.076 alpha=34.52 beta=34.52 gamma=34.52
Positions (direct):
Co (0.000, 0.000, 0.000)
Ag (0.500, 0.500, 0.500)
S (0.258, 0.258, 0.258)
S (0.742, 0.742, 0.742)
O (0.001, 0.415, 0.744)
O (0.193, 0.193, 0.193)
O (0.256, 0.999, 0.585)
O (0.415, 0.744, 0.001)
O (0.585, 0.256, 0.999)
O (0.744, 0.001, 0.415)
O (0.807, 0.807, 0.807)
O (0.999, 0.585, 0.256)

Summary:
symmetry: No. 148
electronic total energy: -68.38 eV per formula unit